Record 1
CaPm2Ho3Bi6 PBE optimized geometry; size of the total moment = 0.0 μB per formula unit; formation energy from the elements = -10.1 eV per formula unit
1.0
9.882 -2.260 0.000
9.882 2.260 0.000
-2.116 0.000 8.822
Ca Pm Ho Bi
1 2 3 6
direct
0.000 0.000 0.000
0.334 0.334 0.670
0.666 0.666 0.330
0.000 0.000 0.500
0.334 0.334 0.167
0.666 0.666 0.833
0.165 0.165 0.587
0.169 0.169 0.078
0.498 0.498 0.256
0.502 0.502 0.744
0.831 0.831 0.922
0.835 0.835 0.413

Record 2
CaPmHo2Bi4 PBE optimized geometry; size of the total moment = 0.0 μB per formula unit; formation energy from the elements = -6.5 eV per formula unit
1.0
7.845 0.000 0.000
0.000 4.501 0.000
-2.586 0.000 7.451
Ca Pm Ho Bi
1 1 2 4
direct
0.000 0.000 0.000
0.500 0.500 0.000
0.000 0.500 0.500
0.500 0.000 0.500
0.247 0.000 0.741
0.254 0.500 0.260
0.746 0.500 0.740
0.753 0.000 0.259

Record 3
CaPrHo2Bi4 PBE optimized geometry; size of the total moment = 0.0 μB per formula unit; formation energy from the elements = -6.4 eV per formula unit
1.0
0.000 6.425 4.547
4.545 0.000 4.547
4.545 6.425 0.000
Ca Pr Ho Bi
1 1 2 4
direct
0.000 0.000 0.000
0.499 0.499 0.501
0.249 0.249 0.251
0.749 0.749 0.751
0.249 0.749 0.251
0.500 0.999 0.500
0.749 0.249 0.751
0.999 0.500 0.001

Record 4
CaPr2HoBi4 PBE optimized geometry; size of the total moment = 0.0 μB per formula unit; formation energy from the elements = -6.7 eV per formula unit
1.0
7.903 0.000 0.000
0.000 4.589 0.000
-2.670 0.000 7.551
Ca Pr Ho Bi
1 2 1 4
direct
0.000 0.000 0.000
0.500 0.000 0.500
0.500 0.500 0.000
0.000 0.500 0.500
0.241 0.000 0.743
0.244 0.500 0.253
0.756 0.500 0.747
0.759 0.000 0.257

Record 5
Ca2Ho2Bi2S PBE optimized geometry; formation energy from raw total energies = -1.02 eV per atom; size of the total moment = 0.0 μB per formula unit
1.0
5.152 0.000 0.000
0.000 5.152 0.000
0.000 0.000 16.430
Ca Ho Bi S
4 4 4 2
direct
0.000 0.000 0.171
0.000 0.000 0.829
0.500 0.500 0.329
0.500 0.500 0.671
0.000 0.500 0.000
0.000 0.500 0.500
0.500 0.000 0.000
0.500 0.000 0.500
0.000 0.000 0.367
0.000 0.000 0.633
0.500 0.500 0.133
0.500 0.500 0.867
0.000 0.000 0.000
0.500 0.500 0.500

Record 6
CaHo2ScBi4 PBE optimized geometry; size of the total moment = 0.0 μB per formula unit; formation energy from the elements = -5.8 eV per formula unit
1.0
6.296 0.000 0.000
0.000 6.296 0.000
0.000 0.000 12.583
Ca Ho Sc Bi
2 4 2 8
direct
0.000 0.000 0.000
0.500 0.500 0.500
0.000 0.500 0.250
0.000 0.500 0.750
0.500 0.000 0.250
0.500 0.000 0.750
0.000 0.000 0.500
0.500 0.500 0.000
0.000 0.000 0.260
0.000 0.000 0.740
0.000 0.500 0.000
0.000 0.500 0.500
0.500 0.000 0.000
0.500 0.000 0.500
0.500 0.500 0.240
0.500 0.500 0.760